Record 1
{
  "formula": "Sr2AlGa7",
  "functional": "PBE-GGA",
  "state": "relaxed",
  "formation_enthalpy_0k_ev_per_atom": -0.406,
  "magnetic_moment_mub_per_cell": 0.00,
  "lattice": [[4.437, 0.000, 0.000], [0.000, 4.437, 0.000], [0.000, 0.000, 10.990]],
  "species": ["Sr", "Sr", "Al", "Ga", "Ga", "Ga", "Ga", "Ga", "Ga", "Ga"],
  "fractional_positions": [[0.000, 0.500, 0.249], [0.500, 0.000, 0.751], [0.000, 0.000, 0.500], [0.000, 0.000, 0.000], [0.000, 0.500, 0.633], [0.000, 0.500, 0.867], [0.500, 0.000, 0.133], [0.500, 0.000, 0.367], [0.500, 0.500, 0.000], [0.500, 0.500, 0.500]]
}



Record 2
{
  "formula": "ZrFeCo",
  "functional": "PBE-GGA",
  "state": "relaxed",
  "formation_enthalpy_0k_ev_per_atom": 0.273,
  "magnetic_moment_mub_per_cell": 4.30,
  "lattice": [[2.900, 0.000, 0.000], [-1.450, 2.511, 0.000], [0.000, 0.000, 6.384]],
  "species": ["Zr", "Fe", "Co"],
  "fractional_positions": [[0.000, 0.000, 0.000], [0.333, 0.667, 0.631], [0.667, 0.333, 0.358]]
}